Entry 1:
Material: Pr3AlN
Method: DFT, PBE
State: optimized geometry

Cell: 5.0465 5.0465 5.0465 Å, 90.00 90.00 90.00°
Atoms (fractional coordinates):
Pr: 0.5000 0.5000 0.0000
Pr: 0.5000 0.0000 0.5000
Pr: 0.0000 0.5000 0.5000
Al: 0.0000 0.0000 0.0000
N: 0.5000 0.5000 0.5000

## Properties
* total energy: -0.4404 Ry per atom
* relative energy among the computed polymorphs: 0.0 meV/atom
* Fermi-level density of states: 0.63 states/eV/atom
* space-group type: No. 221
* ΔE_f (raw): -3.6 eV/f.u.

Entry 2:
Material: CrMoP2
Method: DFT, PBE
State: optimized geometry

Cell: 4.1493 4.1493 4.1493 Å, 60.00 60.00 60.00°
Atoms (fractional coordinates):
Cr: 0.0000 0.0000 0.0000
Mo: 0.5000 0.5000 0.5000
P: 0.2500 0.2500 0.2500
P: 0.7500 0.7500 0.7500

## Properties
* total energy: -0.5934 Ry per atom
* relative energy among the computed polymorphs: 272.6 meV/atom
* Fermi-level density of states: 0.79 states/eV/atom
* formation energy: -0.255 eV/atom
* space-group type: No. 225

Entry 3:
Material: Zn3B7IO13
Method: DFT, PBE
State: optimized geometry

Cell: 8.6618 8.6618 8.6618 Å, 60.00 60.00 60.00°
Atoms (fractional coordinates):
Zn: 0.0000 0.5000 0.5000
Zn: 0.5000 0.0000 0.0000
Zn: 0.0000 0.0000 0.5000
Zn: 0.5000 0.5000 0.0000
Zn: 0.5000 0.0000 0.5000
Zn: 0.0000 0.5000 0.0000
B: 0.9197 0.9197 0.2409
B: 0.2409 0.9197 0.9197
B: 0.9197 0.9197 0.9197
B: 0.4197 0.4197 0.7409
B: 0.9197 0.2409 0.9197
B: 0.7409 0.4197 0.4197
B: 0.4197 0.7409 0.4197
B: 0.4197 0.4197 0.4197
B: 0.7500 0.2500 0.2500
B: 0.2500 0.7500 0.7500
B: 0.7500 0.7500 0.2500
B: 0.2500 0.2500 0.7500
B: 0.2500 0.7500 0.2500
B: 0.7500 0.2500 0.7500
I: 0.7500 0.7500 0.7500
I: 0.2500 0.2500 0.2500
O: 0.0637 0.7438 0.2968
O: 0.2968 0.8957 0.0637
O: 0.7438 0.0637 0.8957
O: 0.8957 0.0637 0.2968
O: 0.5637 0.3957 0.7968
O: 0.8957 0.2968 0.7438
O: 0.7438 0.2968 0.0637
O: 0.7968 0.2438 0.5637
O: 0.2968 0.7438 0.8957
O: 0.2438 0.7968 0.3957
O: 0.0637 0.8957 0.7438
O: 0.3957 0.5637 0.2438
O: 0.7438 0.8957 0.2968
O: 0.3957 0.2438 0.7968
O: 0.0637 0.2968 0.8957
O: 0.7968 0.5637 0.3957
O: 0.2968 0.0637 0.7438
O: 0.5637 0.7968 0.2438
O: 0.8957 0.7438 0.0637
O: 0.2438 0.3957 0.5637
O: 0.2438 0.5637 0.7968
O: 0.3957 0.7968 0.5637
O: 0.7968 0.3957 0.2438
O: 0.5637 0.2438 0.3957
O: 0.0000 0.0000 0.0000
O: 0.5000 0.5000 0.5000

## Properties
* total energy: -0.5113 Ry per atom
* relative energy among the computed polymorphs: 6.5 meV/atom
* Fermi-level density of states: 0.00 states/eV/atom
* space-group type: No. 219
* ΔE_f (raw): -50.4 eV/f.u.

Entry 4:
Material: CaNi2Se2
Method: DFT, PBE
State: optimized geometry

Cell: 4.6226 4.6226 5.3432 Å, 64.37 64.37 90.00°
Atoms (fractional coordinates):
Ni: 0.3459 0.3459 0.3082
Ni: 0.6541 0.6541 0.6918
Ca: 0.0000 0.0000 0.0000
Se: 0.7500 0.2500 0.5000
Se: 0.2500 0.7500 0.5000

## Properties
* total energy: -0.3442 Ry per atom
* relative energy among the computed polymorphs: 120.4 meV/atom
* Fermi-level density of states: 0.78 states/eV/atom
* space-group type: No. 139
* ΔE_f (raw): -2.9 eV/f.u.

Entry 5:
Material: Sb3P
Method: DFT, PBE
State: optimized geometry

Cell: 3.4985 3.4985 7.8863 Å, 90.00 90.00 90.00°
Atoms (fractional coordinates):
Sb: 0.5000 0.5000 0.2030
Sb: 0.0000 0.0000 0.5000
Sb: 0.5000 0.5000 0.7970
P: 0.0000 0.0000 0.0000

## Properties
* total energy: -0.3009 Ry per atom
* relative energy among the computed polymorphs: 243.0 meV/atom
* Fermi-level density of states: 0.48 states/eV/atom
* space-group type: No. 123
* ΔE_f (raw): 1.4 eV/f.u.

Entry 6:
Material: Cs2Sr2Sb
Method: DFT, PBE
State: optimized geometry

Cell: 8.8931 8.8931 7.6684 Å, 90.00 90.00 90.00°
Atoms (fractional coordinates):
Cs: 0.1838 0.6838 0.5000
Cs: 0.6838 0.8162 0.5000
Cs: 0.8162 0.3162 0.5000
Cs: 0.3162 0.1838 0.5000
Sb: 0.0000 0.0000 0.0000
Sb: 0.5000 0.5000 0.0000
Sr: 0.3314 0.8314 0.0000
Sr: 0.8314 0.6686 0.0000
Sr: 0.6686 0.1686 0.0000
Sr: 0.1686 0.3314 0.0000

## Properties
* total energy: -0.1526 Ry per atom
* Fermi-level density of states: 0.93 states/eV/atom
* space-group type: No. 127
* ΔE_f (raw): -1.2 eV/f.u.